DFT (meta-GGA SCAN) results for K2AgIr at its PBEsol-relaxed geometry.

a = 4.1048 Å, b = 4.1048 Å, c = 5.1250 Å
α = 90.00°, β = 90.00°, γ = 90.00°
Atoms (fractional coordinates):
Ag 0.5000 0.5000 0.5000
Ir 0.0000 0.0000 0.5000
K 0.0000 0.5000 0.0000
K 0.5000 0.0000 0.0000

Calculated values
SG = P4/mmm (123)
Energy relative to the lowest polymorph listed for this composition = 0.58 kcal/mol of atoms
N(E_F) = 1.6 states/eV per cell
Energy of formation from the pure elements = 3.08 eV/f.u.